Here is a relaxed Ca2AuN crystal from Alexandria. Energies are from GGA-PBE.

abc: 3.6681 3.6681 13.3627
angles: 90.00 90.00 90.00
Closest atoms and distances in Å follow each position.
Space group I-4m2 (No. 119)
Asymmetric unit:
Ca (0.0000, 0.0000, 0.1504) (multiplicity 4)  2 N 2.27
Au (0.0000, 0.0000, 0.5000) (multiplicity 2)  8 Ca 3.28, 4 Au 3.67
N (0.0000, 0.5000, 0.2500) (multiplicity 2)  4 Ca 2.27

**Density of states at the Fermi level**: 0.24 states/eV per atom
**VASP energy**: -17.97 eV/f.u.
**Formation energy from raw total energies**: -0.5902 eV/atom


Here is a relaxed RbNbI6 crystal from Alexandria. Energies are from GGA-PBE.

abc: 9.1783 11.8094 7.3635
angles: 90.00 105.51 90.00
Closest atoms and distances in Å follow each position.
Space group C2/m (No. 12)
Asymmetric unit:
Rb (0.0000, 0.0000, 0.0000) (multiplicity 2)  6 I 3.73-3.86
Nb (0.0000, 0.5000, 0.5000) (multiplicity 2)  6 I 2.76-2.80
I (0.1716, 0.3310, 0.7251) (multiplicity 8)  1 Nb 2.80
I (0.1961, 0.5000, 0.2740) (multiplicity 4)  1 Nb 2.76

**VASP energy**: -25.54 eV/f.u.
**Formation energy from raw total energies**: -0.6501 eV/atom


Here is a relaxed NiRhC crystal from Alexandria. Energies are from GGA-PBE.

abc: 4.8454 4.0072 3.5606
angles: 90.00 97.98 90.00
Closest atoms and distances in Å follow each position.
Space group Cm (No. 8)
Asymmetric unit:
Ni (0.0000, 0.0000, 0.0000) (multiplicity 2)  2 C 1.87-1.88
Rh (0.4851, 0.0000, 0.5028) (multiplicity 2)  3 C 1.92-2.07
C (0.3788, 0.5000, 0.4751) (multiplicity 2)  2 Ni 1.87-1.88, 3 Rh 1.92-2.07

**Energy relative to the elements**: 0.359 eV/atom
**Density of states at the Fermi level**: 0.42 states/eV per atom
**VASP energy**: -21.28 eV/f.u.


Here is a relaxed CaPm2Er crystal from Alexandria. Energies are from GGA-PBE.

abc: 8.2144 8.2144 8.2144
angles: 90.00 90.00 90.00
Closest atoms and distances in Å follow each position.
Space group Fm-3m (No. 225)
Asymmetric unit:
Ca (0.0000, 0.0000, 0.0000) (multiplicity 4)  8 Pm 3.56
Pm (0.2500, 0.2500, 0.2500) (multiplicity 8)  4 Er 3.56, 4 Ca 3.56
Er (0.0000, 0.0000, 0.5000) (multiplicity 4)  8 Pm 3.56

**Energy relative to the elements**: 0.126 eV/atom
**Density of states at the Fermi level**: 1.60 states/eV per atom
**VASP energy**: -15.56 eV/f.u.


Here is a relaxed Hg3TePt crystal from Alexandria. Energies are from GGA-PBE.

abc: 5.2755 5.2755 5.2755
angles: 90.00 90.00 90.00
Closest atoms and distances in Å follow each position.
Space group Pm-3m (No. 221)
Asymmetric unit:
Hg (0.0000, 0.0000, 0.5000) (multiplicity 3)  2 Pt 2.64
Te (0.5000, 0.5000, 0.5000) (multiplicity 1)  12 Hg 3.73
Pt (0.0000, 0.0000, 0.0000) (multiplicity 1)  6 Hg 2.64

**Density of states at the Fermi level**: 0.89 states/eV per atom
**VASP energy**: -9.09 eV/f.u.
**Formation energy from raw total energies**: 0.1987 eV/atom


Here is a relaxed EuHoPuIn crystal from Alexandria. Energies are from GGA-PBE.

abc: 7.7586 7.7586 7.7586
angles: 90.00 90.00 90.00
Closest atoms and distances in Å follow each position.
Space group F-43m (No. 216)
Asymmetric unit:
Eu (0.0000, 0.0000, 0.0000) (multiplicity 4)  4 In 3.36, 4 Pu 3.36
Ho (0.0000, 0.0000, 0.5000) (multiplicity 4)  4 Pu 3.36, 4 In 3.36
Pu (0.2500, 0.2500, 0.2500) (multiplicity 4)  4 Eu 3.36, 4 Ho 3.36
In (0.2500, 0.2500, 0.7500) (multiplicity 4)  4 Ho 3.36, 4 Eu 3.36

**Energy relative to the elements**: -0.025 eV/atom
**Density of states at the Fermi level**: 3.04 states/eV per atom
**VASP energy**: -32.02 eV/f.u.